The following is a PBE calculation of a geometry-optimized LaInN2 structure, from Alexandria via LeMat-Bulk.

Results
E_form (uncorrected): -0.5404 eV per atom
size of the total moment: 0.0 μB/cell
calculated volume: 18.90 A^3/atom
density: 6.19 g cm⁻³
space-group type: I-42d

The structure in CIF format:
```
data_LaInN2
_symmetry_space_group_name_H-M 'P 1'
_symmetry_Int_Tables_number 1
_cell_length_a 6.466
_cell_length_b 6.466
_cell_length_c 6.466
_cell_angle_alpha 130.86
_cell_angle_beta 130.86
_cell_angle_gamma 72.04
loop_
_symmetry_equiv_pos_as_xyz
'x,y,z'
loop_
_atom_site_label
_atom_site_type_symbol
_atom_site_fract_x
_atom_site_fract_y
_atom_site_fract_z
La1 La 0.000 0.000 0.000
La2 La 0.750 0.250 0.500
In1 In 0.250 0.750 0.500
In2 In 0.500 0.500 0.000
N1 N 0.155 0.625 0.030
N2 N 0.375 0.405 0.530
N3 N 0.595 0.125 0.970
N4 N 0.875 0.845 0.470
```